## LiFe2Se (PBE-GGA)

Data for a relaxed LiFe2Se crystal.

The magnetization comes out at 5.507 μB per formula unit. The value obtained for the density is 5.57 g/cm3. The raw formation energy comes out at -3 kJ/mol of atoms. As for the density of states at the Fermi level: 1.393 states/eV/f.u.

The space group is Pm (No. 6) and the conventional cell measures 3.4803, 3.2423 and 5.5015 Å, with angles of 90.00, 108.33 and 90.00 degrees. Symmetry generates all atoms from Li at (0.0000, 0.0000, 0.0000), Fe at (0.2528, 0.0000, 0.5066), Fe at (0.6626, 0.5000, 0.3252) and Se at (0.4240, 0.5000, 0.8476).

=====

## LiVHg (PBE-GGA)

Data for a relaxed LiVHg crystal.

The energy of formation from the pure elements is 0.679 eV/atom. The magnetization comes out at 0.001 μB per formula unit. Its energy above the most stable polymorph in this dataset is 646.2 meV per atom. The value obtained for the density is 7.28 g/cm3. As for the density of states at the Fermi level: 2.621 states/eV/f.u.

The space group is P4/nmm (No. 129, origin choice 2) and the conventional cell measures 3.7408, 3.7408 and 8.4274 Å, with angles of 90.00, 90.00 and 90.00 degrees. Symmetry generates all atoms from Li at (0.2500, 0.2500, 0.2433), V at (0.2500, 0.2500, 0.9421) and Hg at (0.2500, 0.7500, 0.5000).

=====

## Dy5Zn2Hg2 (PBE-GGA)

Data for a relaxed Dy5Zn2Hg2 crystal.

The energy of formation from the pure elements is -0.328 eV/atom. The magnetization comes out at 0.000 μB per formula unit. The value obtained for the density is 9.55 g/cm3. As for the density of states at the Fermi level: 7.288 states/eV/f.u.

The space group is Cmce (No. 64) and the conventional cell measures 16.9144, 7.4054 and 7.4629 Å, with angles of 90.00, 90.00 and 90.00 degrees. Symmetry generates all atoms from Dy at (0.0000, 0.0000, 0.0000), Dy at (0.1338, 0.1809, 0.3244), Zn at (0.0000, 0.1189, 0.6223) and Hg at (0.2200, 0.0000, 0.0000).